! BeTe2 | Alexandria | PBE | relaxed; values from VASP
&SYSTEM
  ibrav = 0, nat = 6, ntyp = 2
/
ATOMIC_SPECIES
Be 9.01 Be.upf
Te 127.60 Te.upf
CELL_PARAMETERS angstrom
-3.888 3.888 2.272
3.888 -3.888 2.272
3.888 3.888 -2.272
ATOMIC_POSITIONS crystal
Be 0.250 0.250 0.000
Be 0.750 0.750 0.000
Te 0.159 0.659 0.818
Te 0.341 0.159 0.500
Te 0.659 0.841 0.500
Te 0.841 0.341 0.182
! uncorrected formation energy: 0.4837 eV per atom
! crystal system: tetragonal
! space-group type: I4/mcm, No. 140
! E_tot: -8.56 eV per formula unit
! total magnetization: 0.0000 μB/atom